No. 1
DFT (PBE) results for crystalline RbMgAg2O at its relaxed geometry.

```
RbMgAg2O
1.0
-5.0348 -3.4143 0.7170
3.9272 -5.0114 3.7132
-1.2326 2.9185 5.2425
O Mg Rb Ag
1 1 1 2
Direct
0.5000 0.5000 0.5000
0.0000 0.5000 0.0000
0.0000 0.0000 0.0000
0.0000 0.0000 0.5000
0.5000 0.0000 0.0000
```

- crystal system = tetragonal
- Fermi-level density of states (states/eV per atom) = 3.14
- formation energy without anion corrections (eV/atom) = 1.563

=====

No. 2
DFT (PBE) results for crystalline MgRe2AgO8 at its relaxed geometry.

```
MgRe2AgO8
1.0
5.8589 0.0000 0.0000
-2.9295 5.0740 0.0000
0.0000 0.0000 6.6136
Mg Re Ag O
1 2 1 8
Direct
0.0000 0.0000 0.5000
0.6667 0.3333 0.2338
0.3333 0.6667 0.7662
0.0000 0.0000 0.0000
0.3333 0.6667 0.0305
0.3309 0.1661 0.3119
0.8339 0.1648 0.3119
0.6667 0.3333 0.9695
0.1661 0.8352 0.6881
0.6691 0.8339 0.6881
0.1648 0.3309 0.6881
0.8352 0.6691 0.3119
```

- crystal system = trigonal
- Fermi-level density of states (states/eV per atom) = 0.52
- formation energy without anion corrections (eV/atom) = -1.557